Density functional theory data (GGA-PBEsol) for a geometry-optimized In15SnO24 structure.

```
In15SnO24
1.0
7.196 4.155 2.949
-7.196 4.155 2.949
0.000 -8.309 2.949
In Sn O
15 1 24
Cartesian
-3.598 -2.077 2.949
-1.551 -5.322 3.145
-5.384 -1.318 5.703
-3.833 4.004 3.145
-0.246 -2.209 3.153
-1.791 1.317 3.153
-2.036 -0.892 5.695
-3.598 2.077 5.899
0.000 4.155 2.949
2.036 0.892 3.153
1.791 -1.318 5.695
0.246 2.209 5.695
3.833 -4.004 5.703
5.384 1.318 3.145
1.551 5.322 5.703
0.000 0.000 0.000
-5.258 -0.775 3.578
-1.616 0.877 1.030
0.049 -1.838 1.030
-3.872 1.863 3.716
-1.913 -0.792 3.470
-3.549 -2.421 5.132
-1.958 -4.941 5.270
1.567 0.961 1.030
0.322 -4.285 3.716
1.642 -1.261 3.470
3.300 -4.166 3.578
0.271 2.053 3.470
-0.271 -2.053 5.378
-3.300 4.166 5.270
-1.642 1.261 5.378
-0.322 4.285 5.132
-1.567 -0.961 7.818
1.958 4.941 3.578
3.549 2.421 3.716
1.913 0.792 5.378
3.872 -1.863 5.132
-0.049 1.838 7.818
1.616 -0.877 7.818
5.258 0.775 5.270
```

## Properties
For the uncorrected formation energy, the calculation gives -37.38 kcal/mol of atoms. The value obtained for the total magnetization is 0.0 μB/f.u. The value obtained for the mass density is 6983 kg/m³. As for the space group: R-3.